Entry 1:
Computed, not measured: a relaxed structure of YCuNi3 at the PBE level of DFT.

The structure belongs to space group Pm-3m (No. 221); the cell edges are 4.3619, 4.3619 and 4.3619 Å and the angles 90.00°, 90.00° and 90.00°. The inequivalent atoms are Y at (0.0000, 0.0000, 0.0000), Cu at (0.5000, 0.5000, 0.5000) and Ni at (0.0000, 0.5000, 0.5000).

The formation energy comes out at 0.287 eV per atom. The value obtained for the energy above the most stable polymorph in this dataset is 232.9 kJ/mol of formula units.

***

Entry 2:
Computed, not measured: a relaxed structure of Y4SiSe2 at the PBE level of DFT.

The structure belongs to space group Cmcm (No. 63); the cell edges are 4.0362, 13.1279 and 13.5587 Å and the angles 90.00°, 90.00° and 90.00°. The inequivalent atoms are Y at (0.0000, 0.0000, 0.0000), Y at (0.0000, 0.2812, 0.1277), Y at (0.0000, 0.4521, 0.7500), Si at (0.0000, 0.1067, 0.7500) and Se at (0.0000, 0.3608, 0.5635).

The value obtained for the energy above the most stable polymorph in this dataset is 0.0 kJ/mol of formula units. Its energy relative to the elements, uncorrected is -1.248 eV per atom.

***

Entry 3:
Computed, not measured: a relaxed structure of La2ErI2N2 at the PBE level of DFT.

The structure belongs to space group I4/mmm (No. 139); the cell edges are 4.5009, 4.5009 and 19.3895 Å and the angles 90.00°, 90.00° and 90.00°. The inequivalent atoms are La at (0.0000, 0.0000, 0.0781), Er at (0.0000, 0.0000, 0.5000), I at (0.0000, 0.0000, 0.3349) and N at (0.0000, 0.5000, 0.0000).

Its energy relative to the elements, uncorrected is -1.380 eV per atom.